# K2PmGaTe4 (PBE, relaxed)
# crystal system: monoclinic
# space group: No. 15
# total energy: -3.688 eV per atom
# raw formation energy: -0.871 eV per atom
data_K2PmGaTe4
_chemical_formula_sum 'K4 Pm2 Ga2 Te8'
_symmetry_space_group_name_H-M 'P 1'
_symmetry_Int_Tables_number 1
_cell_length_a 9.2802
_cell_length_b 9.2802
_cell_length_c 8.9303
_cell_angle_alpha 118.04
_cell_angle_beta 118.04
_cell_angle_gamma 92.02
loop_
_symmetry_equiv_pos_as_xyz
'x,y,z'
loop_
_atom_site_label
_atom_site_fract_x
_atom_site_fract_y
_atom_site_fract_z
K1 0.0000 0.0000 0.0000
K2 0.0000 0.0000 0.5000
K3 0.0000 0.5000 0.0000
K4 0.5000 0.0000 0.5000
Pm1 0.0000 0.5000 0.5000
Pm2 0.5000 0.0000 0.0000
Ga1 0.5000 0.5000 0.0000
Ga2 0.5000 0.5000 0.5000
Te1 0.2599 0.7357 0.9794
Te2 0.2643 0.7401 0.5206
Te3 0.2894 0.3077 0.5294
Te4 0.3077 0.2894 0.0294
Te5 0.6923 0.7106 0.9706
Te6 0.7106 0.6923 0.4706
Te7 0.7357 0.2599 0.4794
Te8 0.7401 0.2643 0.0206